Below is a crystal of Ta2CdIn relaxed with PBEsol, with properties calculated at the SCAN level.

Calculated values
final energy	-48.945	eV/atom
total magnetic moment	0.00	μB/f.u.
energy of formation from the pure elements	6.836	kcal/mol of atoms

Cell: 5.454 5.454 5.454 Å, 143.09 128.36 65.15°
Sites, in units of the cell vectors:
Ta (0.000, 0.000, 0.000)
Ta (0.770, 0.270, 0.500)
Cd (0.258, 0.758, 0.500)
In (0.508, 0.508, 0.000)